(1)
Crystalline SbIrRu2 at its relaxed geometry. Source: Alexandria, functional PBE.

Calculated values
- Formation energy from raw total energies: 197.0 meV per atom
- Uncorrected energy: -30.747 eV per cell
- Magnetization: 0.01 μB per formula unit

Cell: 3.9926 3.9926 3.9163 Å, 90.00 90.00 90.00°
Fractional coordinates of all 4 atoms:
Sb 0.0000 0.0000 0.0000
Ir 0.5000 0.5000 0.0000
Ru 0.0000 0.5000 0.5000
Ru 0.5000 0.0000 0.5000

***

(2)
Crystalline SbIrRu2 at its relaxed geometry. Source: Alexandria, functional PBE.

Calculated values
- Formation energy from raw total energies: 173.4 meV per atom
- Uncorrected energy: -61.683 eV per cell
- Magnetization: 0.00 μB per formula unit

Cell: 9.0390 2.9024 4.9560 Å, 90.00 103.64 90.00°
Fractional coordinates of all 8 atoms:
Sb 0.0000 0.0000 0.0000
Sb 0.5000 0.5000 0.0000
Ir 0.0000 0.5000 0.5000
Ir 0.5000 0.0000 0.5000
Ru 0.2460 0.5000 0.2723
Ru 0.2540 0.0000 0.7277
Ru 0.7460 0.0000 0.2723
Ru 0.7540 0.5000 0.7277

***

(3)
Crystalline SbIr2Ru at its relaxed geometry. Source: Alexandria, functional PBE.

Calculated values
- Formation energy from raw total energies: 123.1 meV per atom
- Uncorrected energy: -30.628 eV per cell
- Magnetization: 0.00 μB per formula unit

Cell: 3.9666 3.9666 4.0004 Å, 90.00 90.00 90.00°
Fractional coordinates of all 4 atoms:
Sb 0.0000 0.0000 0.0000
Ir 0.0000 0.5000 0.5000
Ir 0.5000 0.0000 0.5000
Ru 0.5000 0.5000 0.0000

***

(4)
Crystalline SbIr2Ru at its relaxed geometry. Source: Alexandria, functional PBE.

Calculated values
- Formation energy from raw total energies: 225.5 meV per atom
- Uncorrected energy: -30.218 eV per cell
- Magnetization: 0.00 μB per formula unit

Cell: 2.8947 4.4820 4.9181 Å, 90.00 90.00 90.00°
Fractional coordinates of all 4 atoms:
Sb 0.0000 0.0000 0.0000
Ir 0.5000 0.0000 0.4836
Ir 0.5000 0.5000 0.8117
Ru 0.0000 0.5000 0.3443

***

(5)
Crystalline SbIrRu2 at its relaxed geometry. Source: Alexandria, functional PBE.

Calculated values
- Formation energy from raw total energies: 393.3 meV per atom
- Uncorrected energy: -119.848 eV per cell
- Magnetization: 2.77 μB per formula unit

Cell: 6.3524 6.3524 6.3524 Å, 90.00 90.00 90.00°
Fractional coordinates of all 16 atoms:
Sb 0.0000 0.0000 0.0000
Sb 0.0000 0.5000 0.5000
Sb 0.5000 0.0000 0.5000
Sb 0.5000 0.5000 0.0000
Ir 0.2500 0.2500 0.2500
Ir 0.2500 0.7500 0.7500
Ir 0.7500 0.2500 0.7500
Ir 0.7500 0.7500 0.2500
Ru 0.0000 0.0000 0.5000
Ru 0.0000 0.5000 0.0000
Ru 0.2500 0.2500 0.7500
Ru 0.2500 0.7500 0.2500
Ru 0.5000 0.0000 0.0000
Ru 0.5000 0.5000 0.5000
Ru 0.7500 0.2500 0.2500
Ru 0.7500 0.7500 0.7500

***

(6)
Crystalline SbIr2Ru at its relaxed geometry. Source: Alexandria, functional PBE.

Calculated values
- Formation energy from raw total energies: 184.7 meV per atom
- Uncorrected energy: -60.763 eV per cell
- Magnetization: 0.00 μB per formula unit

Cell: 9.1791 2.9376 4.7880 Å, 90.00 99.59 90.00°
Fractional coordinates of all 8 atoms:
Sb 0.0000 0.0000 0.0000
Sb 0.5000 0.5000 0.0000
Ir 0.2443 0.0000 0.7323
Ir 0.2557 0.5000 0.2677
Ir 0.7443 0.5000 0.7323
Ir 0.7557 0.0000 0.2677
Ru 0.0000 0.5000 0.5000
Ru 0.5000 0.0000 0.5000

***

(7)
Crystalline SbIr2Ru at its relaxed geometry. Source: Alexandria, functional PBE.

Calculated values
- Formation energy from raw total energies: 367.2 meV per atom
- Uncorrected energy: -59.303 eV per cell
- Magnetization: 0.07 μB per formula unit

Cell: 2.9609 4.6394 9.3736 Å, 90.00 90.00 90.00°
Fractional coordinates of all 8 atoms:
Sb 0.0000 0.0000 0.0000
Sb 0.5000 0.5000 0.5000
Ir 0.0000 0.0000 0.5020
Ir 0.0000 0.5000 0.7323
Ir 0.5000 0.0000 0.2323
Ir 0.5000 0.5000 0.0020
Ru 0.0000 0.5000 0.2697
Ru 0.5000 0.0000 0.7697

***

(8)
Crystalline SbIr2Ru at its relaxed geometry. Source: Alexandria, functional PBE.

Calculated values
- Formation energy from raw total energies: 324.1 meV per atom
- Uncorrected energy: -59.648 eV per cell
- Magnetization: 1.17 μB per formula unit

Cell: 2.9400 4.6263 9.4694 Å, 90.00 90.00 90.00°
Fractional coordinates of all 8 atoms:
Sb 0.0000 0.0000 0.0000
Sb 0.5000 0.5000 0.5000
Ir 0.0000 0.5000 0.2638
Ir 0.0000 0.5000 0.7362
Ir 0.5000 0.0000 0.2362
Ir 0.5000 0.0000 0.7638
Ru 0.0000 0.0000 0.5000
Ru 0.5000 0.5000 0.0000